YRe2Se: optimized geometry, PBE-GGA. Values from VASP.

Cell and atoms, written as Quantum ESPRESSO input:
```
&SYSTEM
  ibrav = 0, nat = 4, ntyp = 3
/
ATOMIC_SPECIES
Re 186.21 Re.upf
Y 88.91 Y.upf
Se 78.96 Se.upf
CELL_PARAMETERS angstrom
-4.6766 -5.6310 5.0957
-1.8860 -6.9614 5.2466
-2.5979 -4.6367 7.1621
ATOMIC_POSITIONS crystal
Re 0.5104 0.5104 0.5104
Re 0.9896 0.9896 0.9896
Y 0.7500 0.7500 0.7500
Se 0.2500 0.2500 0.2500
```

Computed properties:
As for the space-group type: No. 166. The calculation puts the density of states at the Fermi level at 5.45 states/eV/f.u. The value obtained for the energy is -8.02 eV/atom. The calculation puts the total magnetization at 0.0 μB/f.u. As for the formation energy from raw total energies: 0.69 eV per atom.



YReSe2: optimized geometry, PBE-GGA. Values from VASP.

Cell and atoms, written as Quantum ESPRESSO input:
```
&SYSTEM
  ibrav = 0, nat = 4, ntyp = 3
/
ATOMIC_SPECIES
Se 78.96 Se.upf
Re 186.21 Re.upf
Y 88.91 Y.upf
CELL_PARAMETERS angstrom
-2.1347 -1.3670 2.4508
0.0284 -5.1771 -2.8630
3.0806 -4.6537 0.0875
ATOMIC_POSITIONS crystal
Se 0.0000 0.0000 0.0000
Se 0.5000 0.5000 0.0000
Re 0.0000 0.0000 0.5000
Y 0.5000 0.5000 0.5000
```

Computed properties:
As for the space-group type: No. 10. The calculation puts the density of states at the Fermi level at 3.85 states/eV/f.u. The value obtained for the energy is -6.71 eV/atom. The calculation puts the total magnetization at 0.0 μB/f.u. As for the formation energy from raw total energies: -0.23 eV per atom. As for the energy above the most stable polymorph in this dataset: 312.8 meV/atom.



Which formula does entry 2 have?
YReSe2



Among the records above, which one has the lowest density of states at the Fermi level?
YReSe2



Number 2 is which compound?
YReSe2